[1]
Material: Li3TiHg
Method: DFT, PBE-GGA
State: optimized geometry Values from VASP.

Cell and atoms, written as Quantum ESPRESSO input:
```
&SYSTEM
  ibrav = 0, nat = 5, ntyp = 3
/
ATOMIC_SPECIES
Li 6.94 Li.upf
Ti 47.87 Ti.upf
Hg 200.59 Hg.upf
CELL_PARAMETERS angstrom
4.7526 0.0000 0.0000
0.0000 4.7526 0.0000
0.0000 0.0000 4.7526
ATOMIC_POSITIONS angstrom
Li 0.0000 0.0000 2.3763
Li 0.0000 2.3763 0.0000
Li 2.3763 0.0000 0.0000
Ti 2.3763 2.3763 2.3763
Hg 0.0000 0.0000 0.0000
```

Calculated values
The volume is 21.47 Å³/atom. The calculation puts the energy above the most stable polymorph in this dataset at 0 meV per atom. The value obtained for the density is 4.2 g/cm³. The value obtained for the energy is -2.221 eV per atom. As for the space-group type: Pm-3m, No. 221.

[2]
Material: Tb7TlIn2
Method: DFT, PBE-GGA
State: optimized geometry Values from VASP.

Cell and atoms, written as Quantum ESPRESSO input:
```
&SYSTEM
  ibrav = 0, nat = 10, ntyp = 3
/
ATOMIC_SPECIES
Tb 158.93 Tb.upf
Tl 204.38 Tl.upf
In 114.82 In.upf
CELL_PARAMETERS angstrom
0.0000 5.6325 5.6325
5.6325 0.0000 5.6325
5.6325 5.6325 0.0000
ATOMIC_POSITIONS angstrom
Tb 0.0000 0.0000 0.0000
Tb 5.6325 5.6325 2.7751
Tb 5.6325 2.7751 5.6325
Tb 8.4899 5.6325 5.6325
Tb 2.7751 5.6325 5.6325
Tb 5.6325 8.4899 5.6325
Tb 5.6325 5.6325 8.4899
Tl 5.6325 5.6325 5.6325
In 2.8163 2.8163 2.8163
In 8.4488 8.4488 8.4488
```

Calculated values
The volume is 35.74 Å³/atom. The value obtained for the density is 7.2 g/cm³. The value obtained for the energy is -3.487 eV per atom. As for the space-group type: Fm-3m, No. 225.

[3]
Material: Sm3PtO7
Method: DFT, PBE-GGA
State: optimized geometry Values from VASP.

Cell and atoms, written as Quantum ESPRESSO input:
```
&SYSTEM
  ibrav = 0, nat = 22, ntyp = 3
/
ATOMIC_SPECIES
Sm 150.36 Sm.upf
Pt 195.08 Pt.upf
O 16.00 O.upf
CELL_PARAMETERS angstrom
5.3972 -3.7521 0.0000
5.3972 3.7521 0.0000
0.0000 0.0000 7.5284
ATOMIC_POSITIONS angstrom
Sm 0.0000 0.0000 0.0000
Sm 0.0000 0.0000 3.7642
Sm 2.9845 1.5226 5.6463
Sm 2.9845 -1.5226 1.8821
Sm 7.8099 1.5226 5.6463
Sm 7.8099 -1.5226 1.8821
Pt 5.3972 0.0000 0.0000
Pt 5.3972 0.0000 3.7642
O 1.4367 0.1647 1.8821
O 1.4367 -0.1647 5.6463
O 4.0202 1.4392 0.2800
O 4.0202 1.4392 3.4842
O 5.3972 0.7432 5.6463
O 6.7743 1.4392 0.2800
O 6.7743 1.4392 3.4842
O 4.0202 -1.4392 4.0442
O 4.0202 -1.4392 7.2484
O 5.3972 -0.7432 1.8821
O 6.7743 -1.4392 4.0442
O 6.7743 -1.4392 7.2484
O 9.3578 0.1647 1.8821
O 9.3578 -0.1647 5.6463
```

Calculated values
The uncorrected formation energy is -2509 meV/atom. The volume is 13.86 Å³/atom. The value obtained for the density is 8.3 g/cm³. The value obtained for the energy is -7.501 eV per atom. As for the space-group type: Cmcm, No. 63.